A plane-wave DFT calculation with PBE was carried out for a relaxed structure of ScTiF2.

POSCAR file:
```
ScTiF2
1.0
-2.515 2.515 4.976
2.515 -2.515 4.976
2.515 2.515 -4.976
Sc Ti F
2 2 4
Cartesian
0.000 0.000 0.000
0.000 2.515 2.488
2.515 0.000 2.488
0.000 0.000 4.976
3.772 1.172 -1.244
1.172 1.257 1.244
-1.257 1.342 3.732
1.342 1.257 6.221
```

Output
- Final energy: -50.38 eV/cell
- Offset from the most stable computed form: 60 kJ/mol of formula units
- Space group: No. 122
- D(E_F): 0.524 states/eV/atom